No. 1
# Nd2Mg5Sn4 | Alexandria via LeMat-Bulk | GGA-PBE | optimized geometry
# - Energy of formation from the pure elements: -0.22 eV per atom
# - E_tot: -3.264 eV/atom
# - DOS(E_F): 15.812 states/eV per cell
# - Crystal system: orthorhombic
data_Nd2Mg5Sn4
_chemical_formula_sum 'Nd8 Mg20 Sn16'
_space_group_name_H-M_alt 'F m m m'
_space_group_IT_number 69
_space_group_name_Hall '-F 2 2'
_cell_length_a 6.2152
_cell_length_b 11.7949
_cell_length_c 16.4372
_cell_angle_alpha 90.00
_cell_angle_beta 90.00
_cell_angle_gamma 90.00
loop_
_atom_site_label
_atom_site_fract_x
_atom_site_fract_y
_atom_site_fract_z
Nd1 0.0000 0.0000 0.1519
Mg1 0.0000 0.0000 0.5000
Mg2 0.2500 0.2500 0.0000
Mg3 0.2500 0.2500 0.2500
Sn1 0.0000 0.1275 0.3586

=====

No. 2
# Nd3Mg4Sn4 | Alexandria via LeMat-Bulk | GGA-PBE | optimized geometry
# - Energy of formation from the pure elements: -0.50 eV per atom
# - E_tot: -3.838 eV/atom
# - DOS(E_F): 12.399 states/eV per cell
# - Crystal system: orthorhombic
data_Nd3Mg4Sn4
_chemical_formula_sum 'Nd6 Mg8 Sn8'
_space_group_name_H-M_alt 'I m m m'
_space_group_IT_number 71
_space_group_name_Hall '-I 2 2'
_cell_length_a 4.5743
_cell_length_b 8.2432
_cell_length_c 15.5660
_cell_angle_alpha 90.00
_cell_angle_beta 90.00
_cell_angle_gamma 90.00
loop_
_atom_site_label
_atom_site_fract_x
_atom_site_fract_y
_atom_site_fract_z
Nd1 0.0000 0.0000 0.0000
Nd2 0.0000 0.5000 0.1148
Mg1 0.0000 0.3067 0.3262
Sn1 0.0000 0.0000 0.2241
Sn2 0.0000 0.2083 0.5000